No. 1
VASP calculation (PBE) on Sc4SiSeS2 after structural relaxation.

Unit cell a=6.5410 b=3.7636 c=6.6049 alpha=90.00 beta=109.32 gamma=90.00
Sites, in units of the cell vectors:
1 Sc 0.2406 0.0000 0.2325
2 Sc 0.2486 0.5000 0.7579
3 Sc 0.7514 0.5000 0.2421
4 Sc 0.7594 0.0000 0.7675
5 Si 0.5000 0.0000 0.0000
6 Se 0.5000 0.5000 0.5000
7 S 0.0000 0.0000 0.5000
8 S 0.0000 0.5000 0.0000

Properties
Formation energy without anion corrections (meV per atom): -1540.2
Symmetry: P2/m (10)


No. 2
VASP calculation (PBE) on ZnF after structural relaxation.

Unit cell a=2.9443 b=2.9443 c=4.4496 alpha=109.27 beta=109.27 gamma=60.53
Sites, in units of the cell vectors:
1 Zn 0.0000 0.0000 0.0000
2 F 0.7677 0.7677 0.3062

Properties
Formation energy without anion corrections (meV per atom): -1256.1
Symmetry: Cm (8)


No. 3
VASP calculation (PBE) on TcPd3 after structural relaxation.

Unit cell a=2.7254 b=4.5383 c=4.8629 alpha=90.00 beta=90.00 gamma=90.00
Sites, in units of the cell vectors:
1 Tc 0.0000 0.0000 0.0000
2 Pd 0.0000 0.5000 0.6942
3 Pd 0.5000 0.0000 0.5019
4 Pd 0.5000 0.5000 0.1841

Properties
Calculated formation energy (eV per atom): 0.0909
Symmetry: Pmm2 (25)


No. 4
VASP calculation (PBE) on LaPr2N2Cl2 after structural relaxation.

Unit cell a=8.2462 b=8.2462 c=8.2462 alpha=146.70 beta=146.70 gamma=47.82
Sites, in units of the cell vectors:
1 La 0.0000 0.0000 0.0000
2 Pr 0.3994 0.3994 0.0000
3 Pr 0.6006 0.6006 0.0000
4 N 0.0000 0.5000 0.5000
5 N 0.5000 0.0000 0.5000
6 Cl 0.1949 0.1949 0.0000
7 Cl 0.8051 0.8051 0.0000

Properties
Formation energy without anion corrections (meV per atom): -1269.8
Symmetry: I4/mmm (139)


Number 1: magnetization 0.00 μB per formula unit, theoretical density 3.8 g/cm3. Number 2: magnetization 0.00 μB per formula unit, theoretical density 4.5 g/cm3. Number 3: magnetization 0.00 μB per formula unit, theoretical density 11.5 g/cm3. Number 4: magnetization 0.92 μB per formula unit, theoretical density 5.1 g/cm3.